(1)
Computed, not measured: a PBEsol-optimized structure of SrLaMnO4 at the meta-GGA SCAN level of DFT.

abc: 5.422 12.421 5.439
angles: 90.00 90.00 90.00
Space group Cmcm (No. 63)
Unique sites:
Sr1 0.000 0.106 0.250
La1 0.000 0.387 0.250
Mn1 0.000 0.248 0.750
O1 0.000 0.088 0.750
O2 0.000 0.423 0.750
O3 0.250 0.250 0.000

Calculated values
As for the formation energy from raw total energies: -21.5 eV per formula unit. For the volume, the calculation gives 13.1 Å³ per atom. As for the crystal system: orthorhombic.


(2)
Computed, not measured: a PBEsol-optimized structure of SrLaMnO4 at the meta-GGA SCAN level of DFT.

abc: 3.845 3.845 12.354
angles: 90.00 90.00 90.00
Space group I4mm (No. 107)
Unique sites:
Sr1 0.000 0.000 0.000
La1 0.000 0.000 0.281
Mn1 0.000 0.000 0.639
O1 0.000 0.000 0.471
O2 0.000 0.000 0.805
O3 0.000 0.500 0.146

Calculated values
As for the formation energy from raw total energies: -21.5 eV per formula unit. For the volume, the calculation gives 13.0 Å³ per atom. As for the crystal system: tetragonal.


(3)
Computed, not measured: a PBEsol-optimized structure of SrLaTaMnO6 at the meta-GGA SCAN level of DFT.

abc: 5.636 5.760 9.769
angles: 90.00 125.14 90.00
Space group Pc (No. 7)
Unique sites:
Sr1 0.000 0.213 0.000
La1 0.521 0.301 0.503
Ta1 0.257 0.245 0.749
Mn1 0.759 0.244 0.251
O1 0.004 0.479 0.202
O2 0.111 0.225 0.508
O3 0.424 0.279 0.990
O4 0.491 0.042 0.298
O5 0.571 0.452 0.786
O6 0.921 0.055 0.702

Calculated values
As for the formation energy from raw total energies: -32.0 eV per formula unit. For the volume, the calculation gives 13.0 Å³ per atom. As for the crystal system: monoclinic.


(4)
Computed, not measured: a PBEsol-optimized structure of SrLaTiMnO6 at the meta-GGA SCAN level of DFT.

abc: 5.496 5.526 9.436
angles: 73.73 73.79 60.72
Space group P1 (No. 1)
Unique sites:
Sr1 0.000 0.000 0.000
Sr2 0.482 0.519 0.506
La1 0.221 0.278 0.261
La2 0.738 0.762 0.749
Ti1 0.369 0.373 0.882
Ti2 0.856 0.902 0.376
Mn1 0.112 0.138 0.629
Mn2 0.614 0.637 0.127
O1 0.020 0.541 0.492
O2 0.040 0.415 0.022
O3 0.186 0.729 0.762
O4 0.199 0.864 0.246
O5 0.293 0.198 0.753
O6 0.471 0.528 0.005
O7 0.474 0.979 0.507
O8 0.574 0.968 0.982
O9 0.650 0.298 0.266
O10 0.749 0.313 0.750
O11 0.770 0.739 0.248
O12 0.938 0.064 0.507

Calculated values
As for the formation energy from raw total energies: -32.5 eV per formula unit. For the volume, the calculation gives 11.8 Å³ per atom. As for the crystal system: triclinic.


(5)
Computed, not measured: a PBEsol-optimized structure of SrLaTiMnO6 at the meta-GGA SCAN level of DFT.

abc: 5.450 5.419 9.386
angles: 90.00 125.44 90.00
Space group Pc (No. 7)
Unique sites:
Sr1 0.000 0.249 0.000
La1 0.496 0.252 0.499
Ti1 0.749 0.250 0.249
Mn1 0.250 0.250 0.750
O1 0.025 0.498 0.771
O2 0.029 0.002 0.272
O3 0.476 0.496 0.728
O4 0.479 0.008 0.728
O5 0.533 0.250 0.997
O6 0.956 0.250 0.503

Calculated values
As for the formation energy from raw total energies: -32.2 eV per formula unit. For the volume, the calculation gives 11.3 Å³ per atom. As for the crystal system: monoclinic.


(6)
Computed, not measured: a PBEsol-optimized structure of La2TiMnO6 at the meta-GGA SCAN level of DFT.

abc: 5.546 5.679 9.626
angles: 90.00 125.11 90.00
Space group P2_1/c (No. 14)
Unique sites:
La1 0.241 0.047 0.251
Ti1 0.000 0.000 0.500
Mn1 0.500 0.000 0.000
O1 0.145 0.216 0.950
O2 0.239 0.696 0.954
O3 0.331 0.028 0.741

Calculated values
As for the formation energy from raw total energies: -33.9 eV per formula unit. For the volume, the calculation gives 12.4 Å³ per atom. As for the crystal system: monoclinic.


(7)
Computed, not measured: a PBEsol-optimized structure of La2MnVO6 at the meta-GGA SCAN level of DFT.

abc: 5.449 5.411 9.391
angles: 90.00 125.36 90.00
Space group P2_1/c (No. 14)
Unique sites:
La1 0.246 0.021 0.250
Mn1 0.000 0.000 0.500
V1 0.500 0.000 0.000
O1 0.191 0.230 0.968
O2 0.238 0.724 0.968
O3 0.309 0.004 0.747

Calculated values
As for the formation energy from raw total energies: -31.6 eV per formula unit. For the volume, the calculation gives 11.3 Å³ per atom. As for the crystal system: monoclinic.


(8)
Computed, not measured: a PBEsol-optimized structure of LaMn4P at the meta-GGA SCAN level of DFT.

abc: 7.009 7.009 7.009
angles: 90.00 90.00 90.00
Space group F-43m (No. 216)
Unique sites:
La1 0.000 0.000 0.000
Mn1 0.123 0.123 0.623
P1 0.250 0.250 0.250

Calculated values
The total DFT energy (no corrections) is -20.8195 eV per atom. For the volume, the calculation gives 14.3 Å³ per atom. As for the crystal system: cubic.


(9)
Computed, not measured: a PBEsol-optimized structure of LaMnP2 at the meta-GGA SCAN level of DFT.

abc: 3.097 3.097 6.675
angles: 90.00 90.00 90.00
Space group P4/mmm (No. 123)
Unique sites:
La1 0.000 0.000 0.000
Mn1 0.000 0.000 0.500
P1 0.500 0.500 0.320

Calculated values
The total DFT energy (no corrections) is -20.9592 eV per atom. For the volume, the calculation gives 16.0 Å³ per atom. As for the crystal system: tetragonal.


Repeat the sixth record exactly.
Computed, not measured: a PBEsol-optimized structure of La2TiMnO6 at the meta-GGA SCAN level of DFT.

abc: 5.546 5.679 9.626
angles: 90.00 125.11 90.00
Space group P2_1/c (No. 14)
Unique sites:
La1 0.241 0.047 0.251
Ti1 0.000 0.000 0.500
Mn1 0.500 0.000 0.000
O1 0.145 0.216 0.950
O2 0.239 0.696 0.954
O3 0.331 0.028 0.741

Calculated values
As for the formation energy from raw total energies: -33.9 eV per formula unit. For the volume, the calculation gives 12.4 Å³ per atom. As for the crystal system: monoclinic.


Question: The highest volume belongs to which entry?
Answer: LaMnP2


Question: Look up the volume of the second one.
Answer: 13.0 Å³ per atom